Li3Ni2MoO6 PBE+U optimized geometry; energy = -5.622 eV/atom
1.0
-1.5543 -4.9215 -0.7632
5.0694 1.2332 0.0128
-0.9451 0.3793 5.0593
Li Ni Mo O
3 2 1 6
direct
0.1826 0.8174 0.5000
0.8174 0.1826 0.5000
0.5000 0.5000 0.5000
0.3306 0.6694 0.0000
0.6694 0.3306 0.0000
0.0000 0.0000 0.0000
0.9243 0.6004 0.7627
0.7600 0.7600 0.2262
0.0757 0.3996 0.2373
0.6004 0.9243 0.7627
0.2400 0.2400 0.7738
0.3996 0.0757 0.2373